InSi2Se: optimized geometry, PBE.

Its formation energy from raw total energies is 0.0619 eV/atom. The symmetry is R3m, No. 160.

a = 6.9443 Å, b = 6.9443 Å, c = 6.9443 Å
α = 32.11°, β = 32.11°, γ = 32.11°
Sites, in units of the cell vectors:
1 Si 0.9815 0.9815 0.9815
2 Si 0.2691 0.2691 0.2691
3 Se 0.7473 0.7473 0.7473
4 In 0.5020 0.5020 0.5020

MgZrZn: optimized geometry, PBE.

For the formation energy, the calculation gives -44.5 kJ/mol of formula units. The symmetry is P4mm, No. 99.

a = 3.1395 Å, b = 3.1392 Å, c = 12.0107 Å
α = 90.00°, β = 90.00°, γ = 89.99°
Sites, in units of the cell vectors:
1 Zr 0.5599 0.5271 0.1339
2 Zr 0.5596 0.5272 0.4484
3 Zn 0.0599 0.0268 0.9763
4 Zn 0.0592 0.0267 0.2942
5 Mg 0.0598 0.0272 0.6414
6 Mg 0.5603 0.5274 0.8304